Density functional theory data (PBE) for VFe2Ni after structural relaxation.

Calculated values
ΔE_f = -0.021 eV/atom
VASP energy = -31.91 eV for the cell shown
Magnetization = 3.01 μB/cell

abc: 4.0304 4.0304 4.0304
angles: 60.00 60.00 60.00
Site moments in Bohr magnetons follow the coordinates.
Sites, in units of the cell vectors:
Fe 0.7500 0.7500 0.7500  1.82
V 0.5000 0.5000 0.5000  -1.03
Fe 0.2500 0.2500 0.2500  1.82
Ni 0.0000 0.0000 0.0000  0.56

Density functional theory data (PBE) for V4FeNi2 after structural relaxation.

Calculated values
ΔE_f = 0.676 eV/atom
VASP energy = -51.77 eV for the cell shown
Magnetization = 0.00 μB/cell

abc: 4.1960 4.1960 6.5950
angles: 71.45 71.45 90.00
Sites, in units of the cell vectors:
V 0.0000 0.5000 0.0000
Fe 0.0000 0.0000 0.0000
Ni 0.6144 0.6144 0.7712
Ni 0.3856 0.3856 0.2288
V 0.1927 0.1927 0.6146
V 0.5000 0.0000 0.0000
V 0.8073 0.8073 0.3854

Density functional theory data (PBE) for V2Fe2Ni after structural relaxation.

Calculated values
ΔE_f = 0.144 eV/atom
VASP energy = -80.44 eV for the cell shown
Magnetization = 0.00 μB/cell

abc: 6.7186 6.7186 2.6887
angles: 90.00 90.00 90.00
Sites, in units of the cell vectors:
Fe 0.1476 0.6476 0.5000
V 0.1524 0.3476 0.0000
Ni 0.0000 0.0000 0.0000
V 0.3476 0.8476 0.0000
V 0.6524 0.1524 0.0000
Fe 0.8524 0.3524 0.5000
Fe 0.6476 0.8524 0.5000
Fe 0.3524 0.1476 0.5000
Ni 0.5000 0.5000 0.0000
V 0.8476 0.6524 0.0000